Material: La9Nd11Y4
Method: DFT, PBE
State: relaxed

abc: 16.1064 16.1064 3.7110
angles: 90.00 90.00 116.71
Fractional coordinates of all 24 atoms:
La1 0.0000 0.0000 0.0000
La2 0.1097 0.6752 0.0000
La3 0.2960 0.4821 0.0000
La4 0.3248 0.8903 0.0000
La5 0.4821 0.2960 0.0000
La6 0.5179 0.7040 0.0000
La7 0.6752 0.1097 0.0000
La8 0.7040 0.5179 0.0000
La9 0.8903 0.3248 0.0000
Nd1 0.0975 0.4651 0.5000
Nd2 0.1190 0.8810 0.5000
Nd3 0.2794 0.2794 0.5000
Nd4 0.3133 0.6867 0.5000
Nd5 0.4651 0.0975 0.5000
Nd6 0.5000 0.5000 0.5000
Nd7 0.5349 0.9025 0.5000
Nd8 0.6867 0.3133 0.5000
Nd9 0.7206 0.7206 0.5000
Nd10 0.8810 0.1190 0.5000
Nd11 0.9025 0.5349 0.5000
Y1 0.0844 0.2629 0.0000
Y2 0.2629 0.0844 0.0000
Y3 0.7371 0.9156 0.0000
Y4 0.9156 0.7371 0.0000

- Density: 6.16 Mg/m³
- E_form: 50 meV/atom
- Final energy: -121.4 eV for the cell shown
- D(E_F): 1.5879 states/eV/atom
- Total magnetic moment: 0.000 μB/f.u.
- Space-group type: Cmmm, No. 65